## RbHfBBr2 (PBE-GGA)

Data for RbHfBBr2 after structural relaxation.

As for the formation energy from raw total energies: 6.26 eV per formula unit.

It has space group P4/mmm (No. 123), with a = 5.3753 Å, b = 5.3753 Å, c = 5.4606 Å, α = 90.00°, β = 90.00° and γ = 90.00°. The asymmetric unit holds Rb at (0.0000, 0.0000, 0.0000), Hf at (0.5000, 0.5000, 0.0000), B at (0.0000, 0.0000, 0.5000) and Br at (0.0000, 0.5000, 0.5000).


## AlTl2Hg (PBE-GGA)

Data for AlTl2Hg after structural relaxation.

The value obtained for the offset from the most stable computed form is 0.062 eV per atom. Its calculated formation energy is 0.18 eV per atom.

It has space group P2/m (No. 10), with a = 3.3459 Å, b = 5.5496 Å, c = 5.7999 Å, α = 90.00°, β = 91.74° and γ = 90.00°. The asymmetric unit holds Al at (0.0000, 0.0000, 0.0000), Tl at (0.3046, 0.5000, 0.2448) and Hg at (0.0000, 0.0000, 0.5000).


## Ni3GeTe (PBE-GGA)

Data for Ni3GeTe after structural relaxation.

The value obtained for the offset from the most stable computed form is 0.305 eV per atom. As for the formation energy from raw total energies: 3.62 eV per formula unit.

It has space group Pm-3m (No. 221), with a = 4.6436 Å, b = 4.6436 Å, c = 4.6436 Å, α = 90.00°, β = 90.00° and γ = 90.00°. The asymmetric unit holds Ni at (0.0000, 0.0000, 0.5000), Ge at (0.5000, 0.5000, 0.5000) and Te at (0.0000, 0.0000, 0.0000).


## Sn2Ge2Bi (PBE-GGA)

Data for Sn2Ge2Bi after structural relaxation.

The value obtained for the offset from the most stable computed form is 0.000 eV per atom. Its calculated formation energy is 0.17 eV per atom.

It has space group I4/mmm (No. 139), with a = 3.9305 Å, b = 3.9305 Å, c = 16.9600 Å, α = 90.00°, β = 90.00° and γ = 90.00°. The asymmetric unit holds Sn at (0.0000, 0.0000, 0.1120), Ge at (0.0000, 0.5000, 0.2500) and Bi at (0.0000, 0.0000, 0.5000).


## LiTa2Pb (PBE-GGA)

Data for LiTa2Pb after structural relaxation.

Its calculated formation energy is 0.24 eV per atom.

It has space group Cmm2 (No. 35), with a = 3.4587 Å, b = 4.9901 Å, c = 9.4573 Å, α = 90.00°, β = 90.00° and γ = 90.00°. The asymmetric unit holds Li at (0.0000, 0.0000, 0.0000), Ta at (0.0000, 0.0000, 0.5219), Ta at (0.0000, 0.5000, 0.7450) and Pb at (0.0000, 0.5000, 0.2555).


## MgAl3In (PBE-GGA)

Data for MgAl3In after structural relaxation.

The value obtained for the offset from the most stable computed form is 0.000 eV per atom. Its calculated formation energy is 0.76 eV per atom.

It has space group Pm-3m (No. 221), with a = 5.1431 Å, b = 5.1431 Å, c = 5.1431 Å, α = 90.00°, β = 90.00° and γ = 90.00°. The asymmetric unit holds Mg at (0.0000, 0.0000, 0.0000), Al at (0.0000, 0.0000, 0.5000) and In at (0.5000, 0.5000, 0.5000).


## ReAs2Rh (PBE-GGA)

Data for ReAs2Rh after structural relaxation.

The value obtained for the offset from the most stable computed form is 0.460 eV per atom. Its calculated formation energy is 0.40 eV per atom.

It has space group Pmmm (No. 47), with a = 3.0130 Å, b = 4.1176 Å, c = 5.1438 Å, α = 90.00°, β = 90.00° and γ = 90.00°. The asymmetric unit holds Re at (0.0000, 0.0000, 0.0000), As at (0.0000, 0.5000, 0.5000), As at (0.5000, 0.5000, 0.0000) and Rh at (0.5000, 0.0000, 0.5000).


## NiRu2Rh (PBE-GGA)

Data for NiRu2Rh after structural relaxation.

The value obtained for the offset from the most stable computed form is 0.026 eV per atom. Its calculated formation energy is 0.10 eV per atom.

It has space group Cm (No. 8), with a = 8.8267 Å, b = 2.6695 Å, c = 4.6081 Å, α = 90.00°, β = 99.90° and γ = 90.00°. The asymmetric unit holds Ni at (0.0000, 0.0000, 0.0000), Ru at (0.2487, 0.5000, 0.2540), Ru at (0.4991, 0.0000, 0.4908) and Rh at (0.2490, 0.0000, 0.7581).


Number 1: DOS at the Fermi energy 5.5 states/eV/cell. Number 2: DOS at the Fermi energy 1.6 states/eV/cell. Number 3: DOS at the Fermi energy 1.4 states/eV/cell. Number 4: DOS at the Fermi energy 3.8 states/eV/cell. Number 5: DOS at the Fermi energy 5.0 states/eV/cell. Number 6: DOS at the Fermi energy 2.8 states/eV/cell. Number 7: DOS at the Fermi energy 3.3 states/eV/cell. Number 8: DOS at the Fermi energy 11.4 states/eV/cell.